No. 1
The following is a PBE calculation of a relaxed structure of B2PPtRhC, from Alexandria via LeMat-Bulk.

The crystal system is monoclinic. The relative energy among the computed polymorphs is 0.204 eV per atom.

The space group is Cm (No. 8) and the conventional cell measures 10.971, 3.323 and 4.234 Å, with angles of 90.00, 104.73 and 90.00 degrees. Symmetry generates all atoms from B at (0.000, 0.000, 0.000), B at (0.100, 0.000, 0.425), P at (0.314, 0.500, 0.970), Pt at (0.227, 0.500, 0.413), Rh at (0.444, 0.000, 0.296) and C at (0.023, 0.000, 0.668).

***

No. 2
The following is a PBE calculation of a relaxed structure of B2PPtRhC, from Alexandria via LeMat-Bulk.

The crystal system is monoclinic. The relative energy among the computed polymorphs is 0.250 eV per atom.

The space group is Cm (No. 8) and the conventional cell measures 9.765, 3.390 and 5.304 Å, with angles of 90.00, 119.93 and 90.00 degrees. Symmetry generates all atoms from B at (0.000, 0.000, 0.000), B at (0.200, 0.500, 0.736), P at (0.438, 0.500, 0.298), Pt at (0.223, 0.000, 0.035), Rh at (0.469, 0.000, 0.626) and C at (0.348, 0.500, 0.720).

***

No. 3
The following is a PBE calculation of a relaxed structure of B2PPtRhC, from Alexandria via LeMat-Bulk.

The crystal system is monoclinic. The relative energy among the computed polymorphs is 0.038 eV per atom.

The space group is Cm (No. 8) and the conventional cell measures 7.732, 2.797 and 6.680 Å, with angles of 90.00, 106.38 and 90.00 degrees. Symmetry generates all atoms from B at (0.000, 0.000, 0.000), B at (0.196, 0.000, 0.880), P at (0.143, 0.000, 0.449), Pt at (0.423, 0.500, 0.629), Rh at (0.187, 0.500, 0.192) and C at (0.296, 0.500, 0.900).

***

> relative energy among the computed polymorphs of number 1 (B2PPtRhC)?

0.204 eV per atom

***

> The lowest relative energy among the computed polymorphs belongs to which entry?

number 3

***

Repeat the second record exactly.
The following is a PBE calculation of a relaxed structure of B2PPtRhC, from Alexandria via LeMat-Bulk.

The crystal system is monoclinic. The relative energy among the computed polymorphs is 0.250 eV per atom.

The space group is Cm (No. 8) and the conventional cell measures 9.765, 3.390 and 5.304 Å, with angles of 90.00, 119.93 and 90.00 degrees. Symmetry generates all atoms from B at (0.000, 0.000, 0.000), B at (0.200, 0.500, 0.736), P at (0.438, 0.500, 0.298), Pt at (0.223, 0.000, 0.035), Rh at (0.469, 0.000, 0.626) and C at (0.348, 0.500, 0.720).

***

> Look up the relative energy among the computed polymorphs of the third one.

0.038 eV per atom